Entry 1:
# Gd2DyHg5 (PBE, optimized geometry)
data_Gd2DyHg5
_chemical_formula_sum 'Gd2 Dy1 Hg5'
_symmetry_space_group_name_H-M 'P 1'
_symmetry_Int_Tables_number 1
_symmetry_space_group_name_Hall 'P 1'
_cell_length_a 5.113
_cell_length_b 6.420
_cell_length_c 6.420
_cell_angle_alpha 71.16
_cell_angle_beta 90.00
_cell_angle_gamma 90.00
loop_
_atom_site_label
_atom_site_type_symbol
_atom_site_fract_x
_atom_site_fract_y
_atom_site_fract_z
Dy1 Dy 0.000 0.103 0.103
Gd1 Gd 0.500 0.364 0.364
Gd2 Gd 0.000 0.667 0.667
Hg1 Hg 0.000 0.609 0.168
Hg2 Hg 0.500 0.860 0.362
Hg3 Hg 0.000 0.168 0.609
Hg4 Hg 0.500 0.362 0.860
Hg5 Hg 0.500 0.866 0.866
# - calculated formation energy (eV/f.u.) = -3.47
# - DFT total energy (eV/atom) = -2.358


Entry 2:
# GdDyHg6 (PBE, optimized geometry)
data_GdDyHg6
_chemical_formula_sum 'Gd1 Dy1 Hg6'
_symmetry_space_group_name_H-M 'P 1'
_symmetry_Int_Tables_number 1
_symmetry_space_group_name_Hall 'P 1'
_cell_length_a 6.612
_cell_length_b 6.612
_cell_length_c 5.004
_cell_angle_alpha 90.00
_cell_angle_beta 90.00
_cell_angle_gamma 120.00
loop_
_atom_site_label
_atom_site_type_symbol
_atom_site_fract_x
_atom_site_fract_y
_atom_site_fract_z
Dy1 Dy 0.000 0.000 0.000
Gd1 Gd 0.333 0.667 0.500
Hg1 Hg 0.501 0.001 0.000
Hg2 Hg 0.501 0.499 0.000
Hg3 Hg 0.999 0.499 0.000
Hg4 Hg 0.334 0.167 0.500
Hg5 Hg 0.833 0.167 0.500
Hg6 Hg 0.833 0.666 0.500
# - calculated formation energy (eV/f.u.) = -2.85
# - DFT total energy (eV/atom) = -1.737


Entry 3:
# GdDy2Mg3In2Hg (PBE, optimized geometry)
data_GdDy2Mg3In2Hg
_chemical_formula_sum 'Gd1 Dy2 Mg3 In2 Hg1'
_symmetry_space_group_name_H-M 'P 1'
_symmetry_Int_Tables_number 1
_symmetry_space_group_name_Hall 'P 1'
_cell_length_a 4.625
_cell_length_b 7.537
_cell_length_c 7.537
_cell_angle_alpha 120.24
_cell_angle_beta 90.00
_cell_angle_gamma 90.00
loop_
_atom_site_label
_atom_site_type_symbol
_atom_site_fract_x
_atom_site_fract_y
_atom_site_fract_z
Dy1 Dy 0.000 0.580 0.000
Dy2 Dy 0.000 0.000 0.580
Gd1 Gd 0.000 0.421 0.421
Hg1 Hg 0.000 0.998 0.998
In1 In 0.500 0.668 0.333
In2 In 0.500 0.333 0.668
Mg1 Mg 0.500 0.239 0.000
Mg2 Mg 0.500 0.000 0.239
Mg3 Mg 0.500 0.761 0.761
# - DFT total energy (eV/atom) = -3.118


Entry 4:
# Gd2DyMg3In2Hg (PBE, optimized geometry)
data_Gd2DyMg3In2Hg
_chemical_formula_sum 'Gd2 Dy1 Mg3 In2 Hg1'
_symmetry_space_group_name_H-M 'P 1'
_symmetry_Int_Tables_number 1
_symmetry_space_group_name_Hall 'P 1'
_cell_length_a 4.634
_cell_length_b 7.536
_cell_length_c 7.536
_cell_angle_alpha 119.77
_cell_angle_beta 90.00
_cell_angle_gamma 90.00
loop_
_atom_site_label
_atom_site_type_symbol
_atom_site_fract_x
_atom_site_fract_y
_atom_site_fract_z
Dy1 Dy 0.000 0.580 0.580
Gd1 Gd 0.000 0.421 0.000
Gd2 Gd 0.000 0.000 0.421
Hg1 Hg 0.000 0.998 0.998
In1 In 0.500 0.666 0.335
In2 In 0.500 0.335 0.666
Mg1 Mg 0.500 0.761 0.000
Mg2 Mg 0.500 0.238 0.238
Mg3 Mg 0.500 0.000 0.761
# - DFT total energy (eV/atom) = -3.128


Entry 5:
# Gd2DyMg3Tl2Hg (PBE, optimized geometry)
data_Gd2DyMg3Tl2Hg
_chemical_formula_sum 'Gd2 Dy1 Mg3 Tl2 Hg1'
_symmetry_space_group_name_H-M 'P 1'
_symmetry_Int_Tables_number 1
_symmetry_space_group_name_Hall 'P 1'
_cell_length_a 4.622
_cell_length_b 7.544
_cell_length_c 7.544
_cell_angle_alpha 119.80
_cell_angle_beta 90.00
_cell_angle_gamma 90.00
loop_
_atom_site_label
_atom_site_type_symbol
_atom_site_fract_x
_atom_site_fract_y
_atom_site_fract_z
Dy1 Dy 0.000 0.581 0.581
Gd1 Gd 0.000 0.420 0.000
Gd2 Gd 0.000 0.000 0.420
Hg1 Hg 0.000 0.998 0.998
Mg1 Mg 0.500 0.238 0.238
Mg2 Mg 0.500 0.000 0.761
Mg3 Mg 0.500 0.761 0.000
Tl1 Tl 0.500 0.666 0.335
Tl2 Tl 0.500 0.335 0.666
# - DFT total energy (eV/atom) = -3.003


Entry 6:
# GdDy2Mg3Tl2Hg (PBE, optimized geometry)
data_GdDy2Mg3Tl2Hg
_chemical_formula_sum 'Gd1 Dy2 Mg3 Tl2 Hg1'
_symmetry_space_group_name_H-M 'P 1'
_symmetry_Int_Tables_number 1
_symmetry_space_group_name_Hall 'P 1'
_cell_length_a 4.611
_cell_length_b 7.542
_cell_length_c 7.542
_cell_angle_alpha 120.19
_cell_angle_beta 90.00
_cell_angle_gamma 90.00
loop_
_atom_site_label
_atom_site_type_symbol
_atom_site_fract_x
_atom_site_fract_y
_atom_site_fract_z
Dy1 Dy 0.000 0.000 0.420
Dy2 Dy 0.000 0.420 0.000
Gd1 Gd 0.000 0.579 0.579
Hg1 Hg 0.000 0.002 0.002
Mg1 Mg 0.500 0.762 0.000
Mg2 Mg 0.500 0.239 0.239
Mg3 Mg 0.500 0.000 0.762
Tl1 Tl 0.500 0.667 0.332
Tl2 Tl 0.500 0.332 0.667
# - DFT total energy (eV/atom) = -2.993


Entry 7:
# GdDyHo2In2 (PBE, optimized geometry)
data_GdDyHo2In2
_chemical_formula_sum 'Gd1 Dy1 Ho2 In2'
_symmetry_space_group_name_H-M 'P 1'
_symmetry_Int_Tables_number 1
_symmetry_space_group_name_Hall 'P 1'
_cell_length_a 5.382
_cell_length_b 5.382
_cell_length_c 6.718
_cell_angle_alpha 90.00
_cell_angle_beta 90.00
_cell_angle_gamma 120.00
loop_
_atom_site_label
_atom_site_type_symbol
_atom_site_fract_x
_atom_site_fract_y
_atom_site_fract_z
Dy1 Dy 0.667 0.333 0.000
Gd1 Gd 0.333 0.667 0.500
Ho1 Ho 0.000 0.000 0.249
Ho2 Ho 0.000 0.000 0.751
In1 In 0.333 0.667 0.000
In2 In 0.667 0.333 0.500
# - DFT total energy (eV/atom) = -4.333


Entry 8:
# GdDyHoIn (PBE, optimized geometry)
data_GdDyHoIn
_chemical_formula_sum 'Gd1 Dy1 Ho1 In1'
_symmetry_space_group_name_H-M 'P 1'
_symmetry_Int_Tables_number 1
_symmetry_space_group_name_Hall 'P 1'
_cell_length_a 4.833
_cell_length_b 4.837
_cell_length_c 4.847
_cell_angle_alpha 90.00
_cell_angle_beta 90.00
_cell_angle_gamma 90.00
loop_
_atom_site_label
_atom_site_type_symbol
_atom_site_fract_x
_atom_site_fract_y
_atom_site_fract_z
Dy1 Dy 0.500 0.500 0.000
Gd1 Gd 0.000 0.500 0.500
Ho1 Ho 0.500 0.000 0.500
In1 In 0.000 0.000 0.000
# - DFT total energy (eV/atom) = -4.413


- Look up the DFT total energy of the eighth one.
  -4.413 eV/atom